Material: Rb2PuPdS4
Method: DFT, PBE-GGA
State: relaxed

Cell lengths 6.420, 8.134, 12.294 Å; angles 84.09, 74.87, 66.76 degrees
Sites, in units of the cell vectors:
Rb (0.181, 0.000, 0.638)
Rb (0.819, 0.000, 0.362)
Rb (0.569, 0.500, 0.862)
Rb (0.931, 0.500, 0.138)
Pu (0.750, 0.500, 0.500)
Pu (0.000, 0.000, 0.000)
Pd (0.250, 0.500, 0.500)
Pd (0.500, 0.000, 0.000)
S (0.336, 0.785, 0.080)
S (0.200, 0.215, 0.920)
S (0.879, 0.785, 0.920)
S (0.585, 0.215, 0.080)
S (0.414, 0.715, 0.420)
S (0.550, 0.285, 0.580)
S (0.871, 0.715, 0.580)
S (0.165, 0.285, 0.420)

- SG = Fddd, No. 70
- formation energy (no corrections) (meV/atom) = -843
- magnetic moment (Bohr magnetons per cell) = 7.985
- DFT total energy (eV/cell) = -89.4
- calculated volume (A^3/atom) = 35.6



Material: TaAl2As
Method: DFT, PBE-GGA
State: relaxed

Cell lengths 4.587, 4.587, 4.587 Å; angles 60.00, 60.00, 60.00 degrees
Sites, in units of the cell vectors:
As (0.500, 0.500, 0.500)
Al (0.000, 0.000, 0.000)
Al (0.250, 0.250, 0.250)
Ta (0.750, 0.750, 0.750)

- SG = F-43m, No. 216
- magnetic moment (Bohr magnetons per cell) = 0.000
- DFT total energy (eV/cell) = -22.9
- formation energy (eV/atom) = 0.267
- calculated volume (A^3/atom) = 17.1



Material: PmAs2Rh5
Method: DFT, PBE-GGA
State: relaxed

Cell lengths 3.941, 6.308, 6.308 Å; angles 67.79, 71.80, 71.80 degrees
Sites, in units of the cell vectors:
Pm (0.000, 0.000, 0.000)
As (0.753, 0.747, 0.747)
As (0.247, 0.253, 0.253)
Rh (0.000, 0.500, 0.500)
Rh (0.645, 0.552, 0.158)
Rh (0.355, 0.448, 0.842)
Rh (0.355, 0.842, 0.448)
Rh (0.645, 0.158, 0.552)

- SG = Immm, No. 71
- magnetic moment (Bohr magnetons per cell) = 0.000
- DFT total energy (eV/cell) = -55.9
- formation energy (eV/atom) = -0.632
- calculated volume (A^3/atom) = 16.8



Material: LaBiPb2Br
Method: DFT, PBE-GGA
State: relaxed

Cell lengths 6.589, 6.178, 6.589 Å; angles 90.00, 90.00, 90.00 degrees
Sites, in units of the cell vectors:
Pb (0.000, 0.000, 0.500)
Pb (0.500, 0.000, 0.000)
Bi (0.000, 0.500, 0.000)
Br (0.500, 0.500, 0.500)
La (0.000, 0.000, 0.000)

- SG = P4/mmm, No. 123
- formation energy (no corrections) (meV/atom) = 415
- magnetic moment (Bohr magnetons per cell) = 0.302
- DFT total energy (eV/cell) = -15.8
- calculated volume (A^3/atom) = 53.6



Material: AgHgTe2
Method: DFT, PBE-GGA
State: relaxed

Cell lengths 3.184, 3.184, 10.837 Å; angles 90.00, 90.00, 102.97 degrees
Sites, in units of the cell vectors:
Te (0.000, 0.000, 0.968)
Te (0.500, 0.500, 0.303)
Hg (0.500, 0.500, 0.717)
Ag (0.000, 0.000, 0.512)

- SG = Cmm2, No. 35
- formation energy (no corrections) (meV/atom) = 135
- magnetic moment (Bohr magnetons per cell) = 0.000
- DFT total energy (eV/cell) = -8.9
- calculated volume (A^3/atom) = 26.8



Material: Na2ZnAu
Method: DFT, PBE-GGA
State: relaxed

Cell lengths 4.073, 4.073, 10.951 Å; angles 79.28, 79.28, 90.00 degrees
Sites, in units of the cell vectors:
Na (0.631, 0.125, 0.250)
Na (0.119, 0.625, 0.250)
Na (0.375, 0.369, 0.750)
Na (0.875, 0.881, 0.750)
Zn (0.500, 0.500, 0.000)
Zn (0.250, 0.750, 0.500)
Au (0.000, 0.000, 0.000)
Au (0.750, 0.250, 0.500)

- SG = I-42d, No. 122
- magnetic moment (Bohr magnetons per cell) = 0.000
- DFT total energy (eV/cell) = -14.1
- formation energy (eV/atom) = 0.035
- calculated volume (A^3/atom) = 21.9



Material: PmPaRh
Method: DFT, PBE-GGA
State: relaxed

Cell lengths 4.494, 4.508, 4.508 Å; angles 120.00, 90.00, 90.00 degrees
Sites, in units of the cell vectors:
Pa (0.167, 0.333, 0.667)
Rh (0.167, 0.000, 0.000)
Pm (0.667, 0.667, 0.333)

- SG = P-6m2, No. 187
- relative energy among the computed polymorphs (kcal/mol of atoms) = 6.52
- magnetic moment (Bohr magnetons per cell) = 0.000
- DFT total energy (eV/cell) = -22.1
- formation energy (eV/atom) = -0.175
- calculated volume (A^3/atom) = 26.4



Material: TlGa3Hg3
Method: DFT, PBE-GGA
State: relaxed

Cell lengths 7.603, 7.603, 7.603 Å; angles 90.00, 90.00, 90.00 degrees
Sites, in units of the cell vectors:
Tl (0.500, 0.500, 0.500)
Tl (0.000, 0.000, 0.000)
Hg (0.250, 0.000, 0.500)
Hg (0.000, 0.500, 0.250)
Hg (0.500, 0.750, 0.000)
Hg (0.750, 0.000, 0.500)
Hg (0.000, 0.500, 0.750)
Hg (0.500, 0.250, 0.000)
Ga (0.000, 0.250, 0.500)
Ga (0.000, 0.750, 0.500)
Ga (0.500, 0.000, 0.750)
Ga (0.750, 0.500, 0.000)
Ga (0.500, 0.000, 0.250)
Ga (0.250, 0.500, 0.000)

- SG = Pm-3n, No. 223
- magnetic moment (Bohr magnetons per cell) = 0.000
- DFT total energy (eV/cell) = -21.5
- formation energy (eV/atom) = 0.227
- calculated volume (A^3/atom) = 31.4



Material: GeP2O2
Method: DFT, PBE-GGA
State: relaxed

Cell lengths 3.682, 3.682, 5.617 Å; angles 90.00, 90.00, 90.00 degrees
Sites, in units of the cell vectors:
P (0.000, 0.500, 0.000)
P (0.500, 0.000, 0.000)
Ge (0.500, 0.500, 0.500)
O (0.000, 0.000, 0.000)
O (0.000, 0.000, 0.500)

- SG = P4/mmm, No. 123
- formation energy (no corrections) (meV/atom) = 497
- relative energy among the computed polymorphs (kcal/mol of atoms) = 21.37
- magnetic moment (Bohr magnetons per cell) = 0.000
- DFT total energy (eV/cell) = -22.9
- calculated volume (A^3/atom) = 15.2



Material: LiPm2Ni3P4
Method: DFT, PBE-GGA
State: relaxed

Cell lengths 4.069, 4.069, 9.236 Å; angles 90.00, 90.00, 90.00 degrees
Sites, in units of the cell vectors:
Li (0.500, 0.500, 0.500)
Pm (0.500, 0.000, 0.246)
Pm (0.000, 0.500, 0.754)
Ni (0.000, 0.000, 0.500)
Ni (0.500, 0.000, 0.889)
Ni (0.000, 0.500, 0.111)
P (0.500, 0.500, 0.000)
P (0.000, 0.000, 0.000)
P (0.500, 0.000, 0.637)
P (0.000, 0.500, 0.363)

- SG = P-4m2, No. 115
- magnetic moment (Bohr magnetons per cell) = 0.000
- DFT total energy (eV/cell) = -60.2
- formation energy (eV/atom) = -0.982
- calculated volume (A^3/atom) = 15.3



Material: GdCdNiPt
Method: DFT, PBE-GGA
State: relaxed

Cell lengths 4.749, 4.749, 4.749 Å; angles 60.00, 60.00, 60.00 degrees
Sites, in units of the cell vectors:
Ni (0.000, 0.000, 0.000)
Gd (0.250, 0.250, 0.250)
Pt (0.500, 0.500, 0.500)
Cd (0.750, 0.750, 0.750)

- SG = F-43m, No. 216
- magnetic moment (Bohr magnetons per cell) = 7.032
- DFT total energy (eV/cell) = -28.9
- formation energy (eV/atom) = -0.517
- calculated volume (A^3/atom) = 18.9



Material: UTa2S5
Method: DFT, PBE-GGA
State: relaxed

Cell lengths 5.559, 7.083, 6.624 Å; angles 83.59, 65.19, 74.58 degrees
Sites, in units of the cell vectors:
U (0.500, 0.500, 0.500)
Ta (0.794, 0.500, 0.912)
Ta (0.206, 0.500, 0.088)
S (0.088, 0.737, 0.843)
S (0.431, 0.737, 0.157)
S (0.000, 0.500, 0.500)
S (0.912, 0.263, 0.157)
S (0.569, 0.263, 0.843)

- SG = C2/m, No. 12
- formation energy (no corrections) (meV/atom) = -901
- magnetic moment (Bohr magnetons per cell) = 2.919
- DFT total energy (eV/cell) = -62.8
- calculated volume (A^3/atom) = 28.5